First-principles (PBE-GGA) data for a geometry-optimized K2UZnTe4 structure, as listed in Alexandria.

raw formation energy = -5.25 eV per formula unit

Structure (POSCAR):
```
K2UZnTe4
1.0
-4.292 4.292 3.708
4.292 -4.292 3.708
4.292 4.292 -3.708
K U Zn Te
2 1 1 4
direct
0.000 0.500 0.500 K
0.500 0.000 0.500 K
0.000 0.000 0.000 U
0.500 0.500 0.000 Zn
0.097 0.454 0.000 Te
0.454 0.097 0.000 Te
0.546 0.546 0.643 Te
0.903 0.903 0.357 Te
```

=====

First-principles (PBE-GGA) data for a geometry-optimized MgInRe2 structure, as listed in Alexandria.

energy above the lowest structure with this stoichiometry = 0.532 eV/atom
energy of formation from the pure elements = 676 meV/atom

Structure (POSCAR):
```
MgInRe2
1.0
3.436 0.000 0.000
0.000 3.436 0.000
0.000 0.000 5.818
Mg In Re
1 1 2
direct
0.000 0.000 0.000 Mg
0.000 0.000 0.500 In
0.500 0.500 0.210 Re
0.500 0.500 0.790 Re
```

=====

First-principles (PBE-GGA) data for a geometry-optimized NdGd2Ag structure, as listed in Alexandria.

energy above the lowest structure with this stoichiometry = 0.000 eV/atom
energy of formation from the pure elements = -131 meV/atom

Structure (POSCAR):
```
NdGd2Ag
1.0
3.657 0.000 0.000
0.000 3.657 0.000
0.000 0.000 8.805
Nd Gd Ag
1 2 1
direct
0.000 0.000 0.000 Nd
0.500 0.500 0.290 Gd
0.500 0.500 0.710 Gd
0.000 0.000 0.500 Ag
```

=====

First-principles (PBE-GGA) data for a geometry-optimized ThTeAu structure, as listed in Alexandria.

raw formation energy = -2.11 eV per formula unit
energy above the lowest structure with this stoichiometry = 0.140 eV/atom

Structure (POSCAR):
```
ThTeAu
1.0
4.877 0.000 0.000
-2.438 4.224 0.000
0.000 0.000 3.975
Th Te Au
1 1 1
direct
0.000 0.000 0.000 Th
0.333 0.667 0.460 Te
0.667 0.333 0.738 Au
```

=====

First-principles (PBE-GGA) data for a geometry-optimized Ho2Ag4Se5 structure, as listed in Alexandria.

raw formation energy = -7.79 eV per formula unit

Structure (POSCAR):
```
Ho2Ag4Se5
1.0
2.104 1.215 18.134
-2.104 1.215 18.134
0.000 -2.429 18.134
Ho Ag Se
2 4 5
direct
0.136 0.136 0.136 Ho
0.864 0.864 0.864 Ho
0.313 0.313 0.313 Ag
0.415 0.415 0.415 Ag
0.585 0.585 0.585 Ag
0.687 0.687 0.687 Ag
0.225 0.225 0.225 Se
0.368 0.368 0.368 Se
0.500 0.500 0.500 Se
0.632 0.632 0.632 Se
0.775 0.775 0.775 Se
```

=====

First-principles (PBE-GGA) data for a geometry-optimized TbP2RuRh2 structure, as listed in Alexandria.

energy of formation from the pure elements = -745 meV/atom

Structure (POSCAR):
```
TbP2RuRh2
1.0
4.149 0.000 0.000
-2.074 3.593 0.000
0.000 0.000 6.363
Tb P Ru Rh
1 2 1 2
direct
0.000 0.000 0.000 Tb
0.333 0.667 0.309 P
0.667 0.333 0.691 P
0.000 0.000 0.500 Ru
0.333 0.667 0.701 Rh
0.667 0.333 0.299 Rh
```

=====

VASP energy per entry: -32.6; -26.5; -36.3; -15.9; -45.8; -43.9 eV for the cell shown
Size of the total moment per entry: 2.0; 0.0; 15.0; 0.0; 0.0; 0.0 μB per cell